A geometry-optimized LaNdErIn structure, computed with PBE.

Cell: 5.537 5.537 5.540 Å, 119.98 119.98 90.00°
Fractional positions:
1 La 0.750 0.250 0.500
2 Nd 0.500 0.500 0.000
3 Er 0.000 0.000 0.000
4 In 0.250 0.750 0.500

As for the energy above the lowest structure with this stoichiometry: 65 meV/atom. As for the formation enthalpy at 0 K: -101 meV/atom.

A geometry-optimized La2Nd6Er3In structure, computed with PBE.

Cell: 6.225 6.225 11.960 Å, 94.98 94.98 120.06°
Fractional positions:
1 La 0.334 0.666 0.000
2 La 0.666 0.334 0.000
3 Nd 0.916 0.592 0.747
4 Nd 0.759 0.759 0.254
5 Nd 0.084 0.408 0.253
6 Nd 0.592 0.916 0.747
7 Nd 0.241 0.241 0.746
8 Nd 0.408 0.084 0.253
9 Er 0.167 0.833 0.500
10 Er 0.833 0.167 0.500
11 Er 0.500 0.500 0.500
12 In 0.000 0.000 0.000

As for the formation enthalpy at 0 K: -60 meV/atom.

A geometry-optimized La2NdErIn2 structure, computed with PBE.

Cell: 5.232 6.930 10.294 Å, 90.00 90.00 90.00°
Fractional positions:
1 La 0.500 0.077 0.057
2 La 0.000 0.314 0.179
3 La 0.500 0.577 0.943
4 La 0.000 0.814 0.821
5 Nd 0.000 0.958 0.458
6 Nd 0.000 0.458 0.542
7 Er 0.500 0.178 0.690
8 Er 0.500 0.678 0.310
9 In 0.000 0.295 0.851
10 In 0.500 0.223 0.381
11 In 0.000 0.795 0.149
12 In 0.500 0.723 0.619

As for the formation enthalpy at 0 K: -354 meV/atom.

A geometry-optimized LaNdErIn structure, computed with PBE.

Cell: 5.596 5.596 5.596 Å, 60.00 60.00 60.00°
Site moments in Bohr magnetons follow the coordinates.
Fractional positions:
1 In 0.250 0.250 0.250  0.00
2 La 0.000 0.000 0.000  0.06
3 Nd 0.500 0.500 0.500  0.06
4 Er 0.750 0.750 0.750  0.11

As for the energy above the lowest structure with this stoichiometry: 0 meV/atom. As for the formation enthalpy at 0 K: -166 meV/atom.

A geometry-optimized LaNdEr2In4 structure, computed with PBE.

Cell: 5.406 5.406 9.388 Å, 73.27 73.27 60.00°
Fractional positions:
1 La 0.000 0.000 0.000
2 Nd 0.500 0.500 0.500
3 Er 0.750 0.750 0.750
4 Er 0.250 0.250 0.250
5 In 0.376 0.376 0.872
6 In 0.874 0.874 0.378
7 In 0.126 0.126 0.622
8 In 0.624 0.624 0.128

As for the formation enthalpy at 0 K: -471 meV/atom.

A geometry-optimized LaNd2ErIn4 structure, computed with PBE.

Cell: 5.452 5.452 9.493 Å, 73.31 73.31 60.00°
Fractional positions:
1 La 0.000 0.000 0.000
2 Nd 0.751 0.751 0.747
3 Nd 0.249 0.249 0.253
4 Er 0.500 0.500 0.500
5 In 0.377 0.377 0.868
6 In 0.873 0.873 0.381
7 In 0.127 0.127 0.619
8 In 0.623 0.623 0.132

As for the formation enthalpy at 0 K: -476 meV/atom.

A geometry-optimized La2ErInO structure, computed with PBE.

Cell: 4.718 5.133 5.133 Å, 90.00 90.00 90.00°
Fractional positions:
1 La 0.000 0.000 0.500
2 La 0.000 0.500 0.000
3 Er 0.500 0.000 0.000
4 In 0.500 0.500 0.500
5 O 0.000 0.000 0.000

Its formation energy without anion corrections is -1409 meV/atom.

A geometry-optimized LaErInPb structure, computed with PBE.

Cell: 5.079 5.081 5.747 Å, 116.20 116.22 90.00°
Fractional positions:
1 La 0.750 0.250 0.500
2 Er 0.250 0.750 0.500
3 In 0.000 0.000 0.000
4 Pb 0.500 0.500 0.000

As for the energy above the lowest structure with this stoichiometry: 0 meV/atom. As for the formation enthalpy at 0 K: -476 meV/atom.

| no. | ρ (g/cm3) | DOS at the Fermi energy (states/eV per atom) | total energy (eV for the cell shown) |
| --- | --- | --- | --- |
| 1 | 7.81 | 1.828 | -17.4 |
| 2 | 7.40 | 1.197 | -55.6 |
| 3 | 7.29 | 1.123 | -53.6 |
| 4 | 7.58 | 1.856 | -17.7 |
| 5 | 7.98 | 0.452 | -33.5 |
| 6 | 7.59 | 0.496 | -33.8 |
| 7 | 7.69 | 0.497 | -29.2 |
| 8 | 9.01 | 0.869 | -17.8 |